1.
Here is an optimized crystal structure of LiZrOs2 from Alexandria. Energies are from PBE.

Structure (POSCAR):
```
LiZrOs2
1.0
2.8053 0.0000 0.0000
0.0000 4.0043 0.0000
0.0000 0.0000 5.5638
Li Zr Os
1 1 2
Direct
0.0000 0.0000 0.0000
0.5000 0.5000 0.7399
0.0000 0.0000 0.4500
0.5000 0.5000 0.2483
```

Computed properties:
* DOS at the Fermi energy: 2.9 states/eV/cell
* size of the total moment: 0.00 μB per formula unit
* E_tot: -8.134 eV/atom
* space group: No. 25
* V: 15.6 Å³/atom


2.
Here is an optimized crystal structure of LiTb4Dy3S8 from Alexandria. Energies are from PBE.

Structure (POSCAR):
```
LiTb4Dy3S8
1.0
3.9016 2.2526 6.3760
-3.9016 2.2526 6.3760
0.0000 -4.5052 6.3760
Li Tb Dy S
1 4 3 8
Direct
0.0000 0.0000 0.0000
0.0000 0.0000 0.5000
0.0000 0.5000 0.0000
0.5000 0.0000 0.0000
0.5000 0.5000 0.5000
0.0000 0.5000 0.5000
0.5000 0.0000 0.5000
0.5000 0.5000 0.0000
0.2448 0.2448 0.7539
0.2448 0.7539 0.2448
0.2461 0.7552 0.7552
0.2507 0.2507 0.2507
0.7493 0.7493 0.7493
0.7539 0.2448 0.2448
0.7552 0.2461 0.7552
0.7552 0.7552 0.2461
```

Computed properties:
* DOS at the Fermi energy: 7.9 states/eV/cell
* size of the total moment: 0.00 μB per formula unit
* E_tot: -6.173 eV/atom
* E_form (uncorrected): -1.969 eV per atom
* space group: No. 166
* V: 21.0 Å³/atom


3.
Here is an optimized crystal structure of Ac2HoUN4 from Alexandria. Energies are from PBE.

Structure (POSCAR):
```
Ac2HoUN4
1.0
6.1274 0.0000 0.0000
0.0000 3.6079 0.0000
-2.0369 0.0000 6.1708
Ac Ho U N
2 1 1 4
Direct
0.0000 0.0000 0.0000
0.5000 0.5000 0.0000
0.0000 0.5000 0.5000
0.5000 0.0000 0.5000
0.2588 0.0000 0.6938
0.2859 0.5000 0.3101
0.7141 0.5000 0.6899
0.7412 0.0000 0.3062
```

Computed properties:
* DOS at the Fermi energy: 3.9 states/eV/cell
* size of the total moment: 0.00 μB per formula unit
* E_tot: -8.495 eV/atom
* E_form (uncorrected): -1.322 eV per atom
* space group: No. 10
* V: 17.1 Å³/atom


4.
Here is an optimized crystal structure of KNa4Au from Alexandria. Energies are from PBE.

Structure (POSCAR):
```
KNa4Au
1.0
0.0000 4.6235 4.6235
4.6235 0.0000 4.6235
4.6235 4.6235 0.0000
K Na Au
1 4 1
Direct
0.0000 0.0000 0.0000
0.3770 0.3770 0.3770
0.3770 0.3770 0.8690
0.3770 0.8690 0.3770
0.8690 0.3770 0.3770
0.7500 0.7500 0.7500
```

Computed properties:
* DOS at the Fermi energy: 1.3 states/eV/cell
* size of the total moment: 0.00 μB per formula unit
* E_tot: -1.571 eV/atom
* space group: No. 216
* V: 32.9 Å³/atom


5.
Here is an optimized crystal structure of YCr2In from Alexandria. Energies are from PBE.

Structure (POSCAR):
```
YCr2In
1.0
7.5138 0.0000 0.0000
0.0000 7.5138 0.0000
0.0000 0.0000 5.6592
Y Cr In
4 8 4
Direct
0.0000 0.0000 0.0000
0.0000 0.5000 0.2500
0.5000 0.0000 0.7500
0.5000 0.5000 0.5000
0.2278 0.2500 0.6250
0.2500 0.7278 0.8750
0.2500 0.7722 0.3750
0.2722 0.2500 0.1250
0.7278 0.7500 0.1250
0.7500 0.2278 0.3750
0.7500 0.2722 0.8750
0.7722 0.7500 0.6250
0.0000 0.0000 0.5000
0.0000 0.5000 0.7500
0.5000 0.0000 0.2500
0.5000 0.5000 0.0000
```

Computed properties:
* DOS at the Fermi energy: 25.1 states/eV/cell
* size of the total moment: 0.00 μB per formula unit
* E_tot: -5.994 eV/atom
* space group: No. 122
* V: 20.0 Å³/atom


6.
Here is an optimized crystal structure of ScTiCd from Alexandria. Energies are from PBE.

Structure (POSCAR):
```
ScTiCd
1.0
3.4061 0.0000 0.0000
0.0000 3.4061 0.0000
0.0000 0.0000 23.3533
Sc Ti Cd
4 4 4
Direct
0.0000 0.0000 0.1478
0.0000 0.0000 0.8522
0.5000 0.5000 0.3522
0.5000 0.5000 0.6478
0.0000 0.0000 0.2744
0.0000 0.0000 0.7256
0.5000 0.5000 0.2256
0.5000 0.5000 0.7744
0.0000 0.0000 0.4395
0.0000 0.0000 0.5605
0.5000 0.5000 0.0605
0.5000 0.5000 0.9395
```

Computed properties:
* DOS at the Fermi energy: 14.4 states/eV/cell
* size of the total moment: 0.00 μB per formula unit
* E_tot: -5.037 eV/atom
* space group: No. 139
* V: 22.6 Å³/atom